(w)
# NpGaSn, relaxed, DFT PBE-GGA
data_NpGaSn
_chemical_formula_sum 'Np1 Ga1 Sn1'
_symmetry_space_group_name_H-M 'P 1'
_symmetry_Int_Tables_number 1
_cell_length_a 3.264
_cell_length_b 4.936
_cell_length_c 4.936
_cell_angle_alpha 120.00
_cell_angle_beta 90.00
_cell_angle_gamma 90.00
loop_
_symmetry_equiv_pos_as_xyz
'x,y,z'
loop_
_atom_site_label
_atom_site_fract_x
_atom_site_fract_y
_atom_site_fract_z
_atom_site_occupancy
Np1 0.333 0.667 0.333 1
Sn1 0.833 0.333 0.667 1
Ga1 0.834 0.000 0.000 1
# - total magnetic moment (μB/cell) = 4.504

=====

(x)
# NpGaSn, relaxed, DFT PBE-GGA
data_NpGaSn
_chemical_formula_sum 'Np2 Ga2 Sn2'
_symmetry_space_group_name_H-M 'P 1'
_symmetry_Int_Tables_number 1
_cell_length_a 3.764
_cell_length_b 4.950
_cell_length_c 7.140
_cell_angle_alpha 69.72
_cell_angle_beta 90.00
_cell_angle_gamma 90.00
loop_
_symmetry_equiv_pos_as_xyz
'x,y,z'
loop_
_atom_site_label
_atom_site_fract_x
_atom_site_fract_y
_atom_site_fract_z
_atom_site_occupancy
Ga1 0.250 0.571 0.857 1
Np1 0.250 0.943 0.114 1
Sn1 0.750 0.743 0.513 1
Np2 0.750 0.057 0.886 1
Ga2 0.750 0.429 0.143 1
Sn2 0.250 0.257 0.487 1
# - total magnetic moment (μB/cell) = 0.821

=====

Most stable pick: (x). Distance to second place: 82 meV per atom.

=====

(w)
# NpGaTc2, relaxed, DFT PBE-GGA
data_NpGaTc2
_chemical_formula_sum 'Np1 Ga1 Tc2'
_symmetry_space_group_name_H-M 'P 1'
_symmetry_Int_Tables_number 1
_cell_length_a 3.283
_cell_length_b 3.283
_cell_length_c 6.129
_cell_angle_alpha 90.00
_cell_angle_beta 90.00
_cell_angle_gamma 90.00
loop_
_symmetry_equiv_pos_as_xyz
'x,y,z'
loop_
_atom_site_label
_atom_site_fract_x
_atom_site_fract_y
_atom_site_fract_z
_atom_site_occupancy
Ga1 0.500 0.500 0.000 1
Tc1 0.000 0.000 0.757 1
Tc2 0.000 0.000 0.243 1
Np1 0.500 0.500 0.500 1
# - total magnetic moment (μB/cell) = 1.916

=====

(x)
# NpGaTc2, relaxed, DFT PBE-GGA
data_NpGaTc2
_chemical_formula_sum 'Np1 Ga1 Tc2'
_symmetry_space_group_name_H-M 'P 1'
_symmetry_Int_Tables_number 1
_cell_length_a 3.479
_cell_length_b 4.330
_cell_length_c 4.330
_cell_angle_alpha 90.00
_cell_angle_beta 90.00
_cell_angle_gamma 90.00
loop_
_symmetry_equiv_pos_as_xyz
'x,y,z'
loop_
_atom_site_label
_atom_site_fract_x
_atom_site_fract_y
_atom_site_fract_z
_atom_site_occupancy
Tc1 0.000 0.000 0.500 1
Tc2 0.000 0.500 0.000 1
Ga1 0.500 0.000 0.000 1
Np1 0.500 0.500 0.500 1
# - total magnetic moment (μB/cell) = 0.860

=====

(y)
# NpGaTc2, relaxed, DFT PBE-GGA
data_NpGaTc2
_chemical_formula_sum 'Np1 Ga1 Tc2'
_symmetry_space_group_name_H-M 'P 1'
_symmetry_Int_Tables_number 1
_cell_length_a 4.549
_cell_length_b 4.549
_cell_length_c 4.549
_cell_angle_alpha 60.00
_cell_angle_beta 60.00
_cell_angle_gamma 60.00
loop_
_symmetry_equiv_pos_as_xyz
'x,y,z'
loop_
_atom_site_label
_atom_site_fract_x
_atom_site_fract_y
_atom_site_fract_z
_atom_site_occupancy
Tc1 0.750 0.750 0.750 1
Np1 0.500 0.500 0.500 1
Ga1 0.000 0.000 0.000 1
Tc2 0.250 0.250 0.250 1
# - total magnetic moment (μB/cell) = 2.405

=====

Most stable pick: (x). Distance to second place: 91 meV per atom.

=====

(w)
# Np2GaTc, relaxed, DFT PBE-GGA
data_Np2GaTc
_chemical_formula_sum 'Np2 Ga1 Tc1'
_symmetry_space_group_name_H-M 'P 1'
_symmetry_Int_Tables_number 1
_cell_length_a 2.921
_cell_length_b 2.921
_cell_length_c 10.136
_cell_angle_alpha 81.72
_cell_angle_beta 81.72
_cell_angle_gamma 60.00
loop_
_symmetry_equiv_pos_as_xyz
'x,y,z'
loop_
_atom_site_label
_atom_site_fract_x
_atom_site_fract_y
_atom_site_fract_z
_atom_site_occupancy
Np1 0.255 0.255 0.235 1
Ga1 0.500 0.500 0.500 1
Tc1 0.000 0.000 0.000 1
Np2 0.745 0.745 0.765 1
# - total magnetic moment (μB/cell) = 4.851

=====

(x)
# Np2GaTc, relaxed, DFT PBE-GGA
data_Np2GaTc
_chemical_formula_sum 'Np2 Ga1 Tc1'
_symmetry_space_group_name_H-M 'P 1'
_symmetry_Int_Tables_number 1
_cell_length_a 4.295
_cell_length_b 4.147
_cell_length_c 4.147
_cell_angle_alpha 90.00
_cell_angle_beta 90.00
_cell_angle_gamma 90.00
loop_
_symmetry_equiv_pos_as_xyz
'x,y,z'
loop_
_atom_site_label
_atom_site_fract_x
_atom_site_fract_y
_atom_site_fract_z
_atom_site_occupancy
Tc1 0.500 0.000 0.000 1
Ga1 0.500 0.500 0.500 1
Np1 0.000 0.000 0.500 1
Np2 0.000 0.500 0.000 1
# - total magnetic moment (μB/cell) = 5.610

=====

Most stable pick: (x). Distance to second place: 163 meV per atom.

=====

(w)
# NpTlGa2, relaxed, DFT PBE-GGA
data_NpTlGa2
_chemical_formula_sum 'Np1 Tl1 Ga2'
_symmetry_space_group_name_H-M 'P 1'
_symmetry_Int_Tables_number 1
_cell_length_a 5.022
_cell_length_b 5.022
_cell_length_c 5.022
_cell_angle_alpha 60.00
_cell_angle_beta 60.00
_cell_angle_gamma 60.00
loop_
_symmetry_equiv_pos_as_xyz
'x,y,z'
loop_
_atom_site_label
_atom_site_fract_x
_atom_site_fract_y
_atom_site_fract_z
_atom_site_occupancy
Ga1 0.250 0.250 0.250 1
Np1 0.000 0.000 0.000 1
Tl1 0.500 0.500 0.500 1
Ga2 0.750 0.750 0.750 1
# - total magnetic moment (μB/cell) = 4.161

=====

(x)
# NpTlGa2, relaxed, DFT PBE-GGA
data_NpTlGa2
_chemical_formula_sum 'Np1 Tl1 Ga2'
_symmetry_space_group_name_H-M 'P 1'
_symmetry_Int_Tables_number 1
_cell_length_a 4.224
_cell_length_b 4.565
_cell_length_c 4.565
_cell_angle_alpha 90.00
_cell_angle_beta 90.00
_cell_angle_gamma 90.00
loop_
_symmetry_equiv_pos_as_xyz
'x,y,z'
loop_
_atom_site_label
_atom_site_fract_x
_atom_site_fract_y
_atom_site_fract_z
_atom_site_occupancy
Np1 0.500 0.000 0.000 1
Tl1 0.500 0.500 0.500 1
Ga1 0.000 0.500 0.000 1
Ga2 0.000 0.000 0.500 1
# - total magnetic moment (μB/cell) = 4.109

=====

Most stable pick: (x). Distance to second place: 162 meV per atom.

=====

(w)
# TmNpGa2, relaxed, DFT PBE-GGA
data_TmNpGa2
_chemical_formula_sum 'Tm1 Np1 Ga2'
_symmetry_space_group_name_H-M 'P 1'
_symmetry_Int_Tables_number 1
_cell_length_a 4.997
_cell_length_b 4.997
_cell_length_c 4.998
_cell_angle_alpha 60.00
_cell_angle_beta 60.00
_cell_angle_gamma 60.00
loop_
_symmetry_equiv_pos_as_xyz
'x,y,z'
loop_
_atom_site_label
_atom_site_fract_x
_atom_site_fract_y
_atom_site_fract_z
_atom_site_occupancy
Tm1 0.000 0.000 0.000 1
Np1 0.500 0.500 0.500 1
Ga1 0.750 0.750 0.750 1
Ga2 0.250 0.250 0.250 1
# - total magnetic moment (μB/cell) = 4.257

=====

(x)
# TmNpGa2, relaxed, DFT PBE-GGA
data_TmNpGa2
_chemical_formula_sum 'Tm1 Np1 Ga2'
_symmetry_space_group_name_H-M 'P 1'
_symmetry_Int_Tables_number 1
_cell_length_a 3.454
_cell_length_b 5.066
_cell_length_c 5.066
_cell_angle_alpha 90.00
_cell_angle_beta 90.00
_cell_angle_gamma 90.00
loop_
_symmetry_equiv_pos_as_xyz
'x,y,z'
loop_
_atom_site_label
_atom_site_fract_x
_atom_site_fract_y
_atom_site_fract_z
_atom_site_occupancy
Ga1 0.000 0.500 0.000 1
Np1 0.500 0.500 0.500 1
Tm1 0.500 0.000 0.000 1
Ga2 0.000 0.000 0.500 1
# - total magnetic moment (μB/cell) = 4.170

=====

(y)
# TmNpGa2, relaxed, DFT PBE-GGA
data_TmNpGa2
_chemical_formula_sum 'Tm1 Np1 Ga2'
_symmetry_space_group_name_H-M 'P 1'
_symmetry_Int_Tables_number 1
_cell_length_a 3.225
_cell_length_b 3.225
_cell_length_c 8.267
_cell_angle_alpha 90.00
_cell_angle_beta 90.00
_cell_angle_gamma 90.00
loop_
_symmetry_equiv_pos_as_xyz
'x,y,z'
loop_
_atom_site_label
_atom_site_fract_x
_atom_site_fract_y
_atom_site_fract_z
_atom_site_occupancy
Np1 0.500 0.500 0.000 1
Ga1 0.000 0.000 0.254 1
Ga2 0.000 0.000 0.746 1
Tm1 0.500 0.500 0.500 1
# - total magnetic moment (μB/cell) = 4.067

=====

Most stable pick: (y). Distance to second place: 13 meV per atom.